<one>
DFT (PBE) results for a relaxed structure of Ta2SeBr.

Results
Its density of states at the Fermi level is 1.300 states/eV/atom. Its space group is No. 225. The total moment is 0.000 μB/f.u.

Unit cell a=4.5926 b=4.5926 c=4.5926 alpha=60.00 beta=60.00 gamma=60.00
Element x y z (fractional)
Ta 0.7500 0.7500 0.7500
Br 0.5000 0.5000 0.5000
Se 0.0000 0.0000 0.0000
Ta 0.2500 0.2500 0.2500

<two>
DFT (PBE) results for a relaxed structure of Ta2SeBr.

Results
Its density of states at the Fermi level is 0.923 states/eV/atom. Its space group is No. 123. The total moment is 0.000 μB/f.u.

Unit cell a=3.3091 b=3.3091 c=6.7078 alpha=90.00 beta=90.00 gamma=90.00
Element x y z (fractional)
Br 0.5000 0.5000 0.2500
Ta 0.0000 0.0000 0.5464
Ta 0.0000 0.0000 0.9536
Se 0.5000 0.5000 0.7500

Which of them is the least stable? Correct choice: <one>.

<one>
DFT (PBE) results for a relaxed structure of TaSe3Br.

Results
Its density of states at the Fermi level is 0.000 states/eV/atom. Its space group is No. 2. The total moment is 0.000 μB/f.u.

Unit cell a=4.8366 b=8.1381 c=11.3886 alpha=115.02 beta=90.02 gamma=107.18
Element x y z (fractional)
Se 0.0000 0.0022 0.1760
Ta 0.8462 0.6929 0.1492
Se 0.7220 0.4440 0.8940
Ta 0.1538 0.3071 0.8508
Br 0.2773 0.5548 0.6679
Se 0.0000 0.9978 0.8240
Se 0.1120 0.2221 0.6145
Br 0.7227 0.4452 0.3321
Se 0.8880 0.7779 0.3855
Se 0.2780 0.5560 0.1060

<two>
DFT (PBE) results for a relaxed structure of TaSe3Br.

Results
Its density of states at the Fermi level is 0.689 states/eV/atom. Its space group is No. 221. The total moment is 2.000 μB/f.u.

Unit cell a=5.0258 b=5.0258 c=5.0258 alpha=90.00 beta=90.00 gamma=90.00
Element x y z (fractional)
Se 0.0000 0.5000 0.0000
Se 0.5000 0.0000 0.0000
Ta 0.5000 0.5000 0.5000
Se 0.0000 0.0000 0.5000
Br 0.0000 0.0000 0.0000

Which of them is the least stable? Correct choice: <two>.

<one>
DFT (PBE) results for a relaxed structure of TaTcSe2Br.

Results
Its density of states at the Fermi level is 0.938 states/eV/atom. Its space group is No. 123. The total moment is 4.709 μB/f.u.

Unit cell a=5.0499 b=5.0499 c=5.0945 alpha=90.00 beta=90.00 gamma=90.00
Element x y z (fractional)
Br 0.0000 0.0000 0.5000
Ta 0.0000 0.0000 0.0000
Se 0.5000 0.0000 0.0000
Tc 0.5000 0.5000 0.5000
Se 0.0000 0.5000 0.0000

<two>
DFT (PBE) results for a relaxed structure of TaTcSe2Br.

Results
Its density of states at the Fermi level is 2.085 states/eV/atom. Its space group is No. 123. The total moment is 0.001 μB/f.u.

Unit cell a=4.8184 b=4.8184 c=4.8940 alpha=90.00 beta=90.00 gamma=90.00
Element x y z (fractional)
Se 0.0000 0.5000 0.0000
Br 0.0000 0.0000 0.5000
Ta 0.5000 0.5000 0.5000
Tc 0.0000 0.0000 0.0000
Se 0.5000 0.0000 0.0000

Which of them is the least stable? Correct choice: <two>.

<one>
DFT (PBE) results for a relaxed structure of TaTeSe2Br.

Results
Its density of states at the Fermi level is 1.376 states/eV/atom. Its space group is No. 123. The total moment is 2.993 μB/f.u.

Unit cell a=5.4175 b=5.4175 c=5.2415 alpha=90.00 beta=90.00 gamma=90.00
Element x y z (fractional)
Te 0.0000 0.0000 0.0000
Se 0.5000 0.0000 0.0000
Br 0.0000 0.0000 0.5000
Ta 0.5000 0.5000 0.5000
Se 0.0000 0.5000 0.0000

<two>
DFT (PBE) results for a relaxed structure of TaTeSe2Br.

Results
Its density of states at the Fermi level is 1.123 states/eV/atom. Its space group is No. 123. The total moment is 1.035 μB/f.u.

Unit cell a=5.0748 b=5.0748 c=5.1160 alpha=90.00 beta=90.00 gamma=90.00
Element x y z (fractional)
Se 0.5000 0.0000 0.0000
Te 0.5000 0.5000 0.5000
Ta 0.0000 0.0000 0.0000
Br 0.0000 0.0000 0.5000
Se 0.0000 0.5000 0.0000

Which of them is the least stable? Correct choice: <one>.